[1]
The following is a DFT calculation (PBE-GGA) of crystalline BaBeHg2 at its relaxed geometry.

Geometry as extended XYZ:
```
4
Lattice="-2.141 -2.611 1.540 3.041 -1.919 0.918 0.313 3.718 6.740" Properties=species:S:1:pos:R:3 pbc="T T T"
Be 0.717 0.915 6.994
Hg 0.292 3.475 6.299
Hg 0.512 -1.525 2.570
Ba 0.160 1.899 3.443
```

Values from the calculation:
The final energy is -1.440 eV per atom. The value obtained for the calculated formation energy is 0.123 eV/atom. The value obtained for the mass density is 8.570 g cm⁻³.

[2]
The following is a DFT calculation (PBE-GGA) of crystalline SnBiPb2S4 at its relaxed geometry.

Geometry as extended XYZ:
```
8
Lattice="5.974 0.001 0.000 -0.005 5.974 0.000 -2.985 -2.988 5.898" Properties=species:S:1:pos:R:3 pbc="T T T"
Sn 2.985 2.988 0.000
Bi 2.987 0.001 2.949
Pb -0.002 2.987 2.949
Pb 0.000 0.000 0.000
S 2.987 0.001 5.815
S 2.987 0.001 0.083
S 2.985 2.988 2.904
S 0.000 0.000 2.995
```

Values from the calculation:
The final energy is -4.355 eV per atom. The formation energy from raw total energies comes out at -0.379 eV per atom. The value obtained for the mass density is 6.866 g cm⁻³.